Material: In4SiRu
Method: DFT, SCAN
State: single point on PBEsol structure

Output
ΔE_f (raw) (eV per atom): 0.89
Calculated density (g/cm3): 7.681
Electronic total energy (eV per atom): -28.8414
M_tot (μB per atom): 0.29

a = 5.6452 Å, b = 5.6452 Å, c = 5.6452 Å
α = 60.00°, β = 60.00°, γ = 60.00°
Fractional coordinates of all 6 atoms:
In 0.1253 0.1253 0.1253
In 0.1253 0.1253 0.6242
In 0.1253 0.6242 0.1253
In 0.6242 0.1253 0.1253
Si 0.7500 0.7500 0.7500
Ru 0.5000 0.5000 0.5000